Crystalline MgTl2Pb at its relaxed geometry. Source: the Alexandria database, functional PBE.

Computed properties:
Crystal system: tetragonal

Cell lengths 4.9942, 4.9942, 9.0955 Å; angles 90.00, 90.00, 90.00 degrees
Positions (direct):
1 Mg 0.2500 0.7500 0.0000
2 Mg 0.7500 0.2500 0.0000
3 Tl 0.2500 0.2500 0.2244
4 Tl 0.2500 0.7500 0.5000
5 Tl 0.7500 0.2500 0.5000
6 Tl 0.7500 0.7500 0.7756
7 Pb 0.2500 0.2500 0.7799
8 Pb 0.7500 0.7500 0.2201

***

Crystalline Mg3Tl2Pb3 at its relaxed geometry. Source: the Alexandria database, functional PBE.

Computed properties:
Crystal system: orthorhombic

Cell lengths 10.4803, 10.4803, 10.4803 Å; angles 156.01, 152.01, 37.19 degrees
Positions (direct):
1 Mg 0.0000 0.0000 0.0000
2 Mg 0.3781 0.8781 0.5000
3 Mg 0.6219 0.1219 0.5000
4 Tl 0.2534 0.2534 0.0000
5 Tl 0.7466 0.7466 0.0000
6 Pb 0.1207 0.6207 0.5000
7 Pb 0.5000 0.5000 0.0000
8 Pb 0.8793 0.3793 0.5000

***

Crystalline Mg3TlPb2 at its relaxed geometry. Source: the Alexandria database, functional PBE.

Computed properties:
Crystal system: tetragonal

Cell lengths 3.6883, 3.6883, 11.4231 Å; angles 90.00, 90.00, 90.00 degrees
Positions (direct):
1 Mg 0.0000 0.0000 0.0000
2 Mg 0.0000 0.0000 0.3461
3 Mg 0.0000 0.0000 0.6539
4 Tl 0.5000 0.5000 0.5000
5 Pb 0.5000 0.5000 0.1711
6 Pb 0.5000 0.5000 0.8289

***

Crystalline MgTl2Pb at its relaxed geometry. Source: the Alexandria database, functional PBE.

Computed properties:
Crystal system: tetragonal

Cell lengths 3.5817, 3.5817, 8.7318 Å; angles 90.00, 90.00, 90.00 degrees
Positions (direct):
1 Mg 0.0000 0.0000 0.0000
2 Tl 0.5000 0.5000 0.2264
3 Tl 0.5000 0.5000 0.7736
4 Pb 0.0000 0.0000 0.5000

***

no.,energy relative to the elements (eV per atom),volume (Å³/cell),M_tot (μB per atom)
1,-0.033,226.9,0.0000
2,-0.019,219.3,0.0000
3,-0.047,155.4,0.0000
4,0.003,112.0,0.0000